a.
Density functional theory data (PBE-GGA) for AcFeGe after structural relaxation. Values from VASP.

* magnetic moment: 0.00 μB/cell
* DOS at the Fermi energy: 0.55 states/eV/atom

```
&SYSTEM
  ibrav = 0, nat = 12, ntyp = 3
/
ATOMIC_SPECIES
Ac 227.00 Ac.upf
Fe 55.84 Fe.upf
Ge 72.64 Ge.upf
CELL_PARAMETERS angstrom
3.8780 -5.5542 0.0000
3.8780 5.5542 0.0000
0.0000 0.0000 6.8990
ATOMIC_POSITIONS crystal
Ac 0.1514 0.8486 0.8639
Ac 0.3486 0.6514 0.3639
Ac 0.6514 0.3486 0.6361
Ac 0.8486 0.1514 0.1361
Fe 0.0709 0.9291 0.4038
Fe 0.4291 0.5709 0.9038
Fe 0.5709 0.4291 0.0962
Fe 0.9291 0.0709 0.5962
Ge 0.1361 0.3639 0.7500
Ge 0.3639 0.1361 0.2500
Ge 0.6361 0.8639 0.7500
Ge 0.8639 0.6361 0.2500
```

b.
Density functional theory data (PBE-GGA) for AcFeGe after structural relaxation. Values from VASP.

* magnetic moment: 2.26 μB/cell
* DOS at the Fermi energy: 1.95 states/eV/atom

```
&SYSTEM
  ibrav = 0, nat = 3, ntyp = 3
/
ATOMIC_SPECIES
Ac 227.00 Ac.upf
Fe 55.84 Fe.upf
Ge 72.64 Ge.upf
CELL_PARAMETERS angstrom
4.2811 0.0000 0.0000
-2.1405 3.7075 0.0000
0.0000 0.0000 4.5138
ATOMIC_POSITIONS crystal
Ac 0.0000 0.0000 0.0000
Fe 0.3333 0.6667 0.5000
Ge 0.6667 0.3333 0.5000
```

Energetically preferred structure: b | next structure: +10.3 kJ/mol of atoms

a.
Density functional theory data (PBE-GGA) for Ac2FeGe3 after structural relaxation. Values from VASP.

* magnetic moment: 1.94 μB/cell
* DOS at the Fermi energy: 0.69 states/eV/atom

```
&SYSTEM
  ibrav = 0, nat = 6, ntyp = 3
/
ATOMIC_SPECIES
Ac 227.00 Ac.upf
Fe 55.84 Fe.upf
Ge 72.64 Ge.upf
CELL_PARAMETERS angstrom
-2.2409 2.4052 7.7183
2.2409 -2.4052 7.7183
2.2409 2.4052 -7.7183
ATOMIC_POSITIONS crystal
Ac 0.1433 0.1433 0.0000
Ac 0.8567 0.8567 0.0000
Fe 0.5000 0.5000 0.0000
Ge 0.3466 0.3466 0.0000
Ge 0.5000 0.0000 0.5000
Ge 0.6534 0.6534 0.0000
```

b.
Density functional theory data (PBE-GGA) for Ac2FeGe3 after structural relaxation. Values from VASP.

* magnetic moment: 4.72 μB/cell
* DOS at the Fermi energy: 0.52 states/eV/atom

```
&SYSTEM
  ibrav = 0, nat = 12, ntyp = 3
/
ATOMIC_SPECIES
Ac 227.00 Ac.upf
Fe 55.84 Fe.upf
Ge 72.64 Ge.upf
CELL_PARAMETERS angstrom
0.0000 4.5700 7.5142
4.3464 0.0000 7.5142
4.3464 4.5700 0.0000
ATOMIC_POSITIONS crystal
Ac 0.2435 0.7565 0.2435
Ac 0.2500 0.2500 0.2500
Ac 0.7500 0.7500 0.7500
Ac 0.7565 0.2435 0.7565
Fe 0.3333 0.3333 0.6667
Fe 0.6667 0.6667 0.3333
Ge 0.1745 0.1745 0.8255
Ge 0.1781 0.6480 0.8219
Ge 0.3520 0.8219 0.6480
Ge 0.6480 0.1781 0.3520
Ge 0.8219 0.3520 0.1781
Ge 0.8255 0.8255 0.1745
```

Energetically preferred structure: b | next structure: +17.9 kJ/mol of atoms

a.
Density functional theory data (PBE-GGA) for Ac3FeHg after structural relaxation. Values from VASP.

* magnetic moment: 2.99 μB/cell
* DOS at the Fermi energy: 1.28 states/eV/atom

```
&SYSTEM
  ibrav = 0, nat = 10, ntyp = 3
/
ATOMIC_SPECIES
Ac 227.00 Ac.upf
Fe 55.84 Fe.upf
Hg 200.59 Hg.upf
CELL_PARAMETERS angstrom
4.0019 0.0000 0.0000
0.0300 9.1396 0.0000
0.0304 2.1165 9.1870
ATOMIC_POSITIONS crystal
Ac 0.2492 0.0640 0.2629
Ac 0.2507 0.3072 0.5563
Ac 0.2507 0.6879 0.0804
Ac 0.7493 0.3121 0.9196
Ac 0.7493 0.6928 0.4437
Ac 0.7508 0.9360 0.7371
Fe 0.2499 0.0474 0.9390
Fe 0.7501 0.9526 0.0610
Hg 0.2491 0.6102 0.7396
Hg 0.7509 0.3898 0.2604
```

b.
Density functional theory data (PBE-GGA) for Ac3FeHg after structural relaxation. Values from VASP.

* magnetic moment: 0.19 μB/cell
* DOS at the Fermi energy: 1.28 states/eV/atom

```
&SYSTEM
  ibrav = 0, nat = 5, ntyp = 3
/
ATOMIC_SPECIES
Ac 227.00 Ac.upf
Fe 55.84 Fe.upf
Hg 200.59 Hg.upf
CELL_PARAMETERS angstrom
5.5066 0.0000 0.0000
0.0000 5.5066 0.0000
0.0000 0.0000 5.5066
ATOMIC_POSITIONS crystal
Ac 0.0000 0.0000 0.5000
Ac 0.0000 0.5000 0.0000
Ac 0.5000 0.0000 0.0000
Fe 0.0000 0.0000 0.0000
Hg 0.5000 0.5000 0.5000
```

Energetically preferred structure: a | next structure: +6.8 kJ/mol of atoms